Density functional theory data (PBE) for CeDy2YHo5 after structural relaxation.

The structure in POSCAR format:
```
CeDy2YHo5
1.0
-0.013 3.499 -4.461
-3.366 -9.793 -4.067
-9.013 2.329 1.853
Ce Dy Y Ho
2 4 2 10
Cartesian
-6.767 -1.995 -5.147 Ce
-1.472 -3.044 -2.383 Ce
-10.010 -2.557 -5.578 Dy
-7.264 -0.545 -0.406 Dy
-3.656 -1.080 -0.836 Dy
-4.305 -3.634 -6.440 Dy
-9.016 2.347 -1.735 Y
-6.567 -5.490 -4.285 Y
-3.065 -6.256 -4.897 Ho
-9.088 -0.069 -3.629 Ho
-9.909 -5.837 -4.548 Ho
-8.521 -3.272 -2.540 Ho
-7.915 -4.895 -7.418 Ho
-5.618 1.331 -2.542 Ho
-4.797 -3.512 -2.740 Ho
-2.428 1.856 -2.140 Ho
-3.253 -0.854 -4.263 Ho
-0.201 -0.176 -0.137 Ho
```

## Properties
ρ = 7.91 Mg/m³
size of the total moment = 1.3 μB/cell
calculated volume = 32.163 A^3/atom
E_tot = -4.769 eV/atom